Record 1
The following is a DFT calculation (PBE-GGA) of a relaxed structure of SrMgHg.

a b c (Å): 9.773 8.665 4.977
angles (deg): 90.00 120.34 90.00
Fractional coordinates of all 12 atoms:
Sr 0.000 0.000 0.000
Sr 0.000 0.426 0.500
Sr 0.500 0.500 0.000
Sr 0.500 0.926 0.500
Mg 0.201 0.794 0.701
Mg 0.299 0.294 0.299
Mg 0.701 0.294 0.701
Mg 0.799 0.794 0.299
Hg 0.221 0.624 0.220
Hg 0.279 0.124 0.780
Hg 0.721 0.124 0.220
Hg 0.779 0.624 0.780

ΔE_f   -343 meV/atom
Total magnetization   0.00 μB per formula unit

Record 2
The following is a DFT calculation (PBE-GGA) of a relaxed structure of SrMg4Hg4.

a b c (Å): 6.972 6.972 9.539
angles (deg): 90.00 90.00 90.00
Fractional coordinates of all 18 atoms:
Sr 0.250 0.750 0.250
Sr 0.750 0.250 0.750
Mg 0.016 0.250 0.147
Mg 0.250 0.016 0.647
Mg 0.250 0.484 0.647
Mg 0.484 0.250 0.147
Mg 0.516 0.750 0.853
Mg 0.750 0.516 0.353
Mg 0.750 0.984 0.353
Mg 0.984 0.750 0.853
Hg 0.034 0.250 0.447
Hg 0.250 0.034 0.947
Hg 0.250 0.466 0.947
Hg 0.466 0.250 0.447
Hg 0.534 0.750 0.553
Hg 0.750 0.534 0.053
Hg 0.750 0.966 0.053
Hg 0.966 0.750 0.553

ΔE_f   -262 meV/atom
Total magnetization   0.00 μB per formula unit

Record 3
The following is a DFT calculation (PBE-GGA) of a relaxed structure of Sr5MgHg4.

a b c (Å): 4.022 4.022 20.332
angles (deg): 90.00 90.00 90.00
Fractional coordinates of all 10 atoms:
Sr 0.000 0.000 0.000
Sr 0.000 0.000 0.196
Sr 0.000 0.000 0.391
Sr 0.000 0.000 0.609
Sr 0.000 0.000 0.804
Mg 0.500 0.500 0.500
Hg 0.500 0.500 0.098
Hg 0.500 0.500 0.297
Hg 0.500 0.500 0.703
Hg 0.500 0.500 0.902

ΔE_f   -439 meV/atom
Total magnetization   0.00 μB per formula unit

Record 4
The following is a DFT calculation (PBE-GGA) of a relaxed structure of Sr2MgHg2.

a b c (Å): 6.942 6.942 12.005
angles (deg): 117.07 117.07 39.39
Fractional coordinates of all 10 atoms:
Sr 0.011 0.011 0.173
Sr 0.184 0.184 0.608
Sr 0.816 0.816 0.392
Sr 0.989 0.989 0.827
Mg 0.282 0.282 0.125
Mg 0.718 0.718 0.875
Hg 0.360 0.360 0.931
Hg 0.484 0.484 0.623
Hg 0.516 0.516 0.377
Hg 0.640 0.640 0.069

E above lowest polymorph   0 meV per atom
ΔE_f   -423 meV/atom
Total magnetization   0.00 μB per formula unit

Record 5
The following is a DFT calculation (PBE-GGA) of a relaxed structure of Sr2Mg17Hg3.

a b c (Å): 8.441 8.441 8.441
angles (deg): 83.68 83.68 83.68
Fractional coordinates of all 22 atoms:
Sr 0.155 0.155 0.155
Sr 0.845 0.845 0.845
Mg 0.000 0.500 0.500
Mg 0.170 0.170 0.677
Mg 0.170 0.677 0.170
Mg 0.242 0.500 0.758
Mg 0.242 0.758 0.500
Mg 0.323 0.830 0.830
Mg 0.398 0.398 0.398
Mg 0.500 0.000 0.500
Mg 0.500 0.242 0.758
Mg 0.500 0.500 0.000
Mg 0.500 0.758 0.242
Mg 0.602 0.602 0.602
Mg 0.677 0.170 0.170
Mg 0.758 0.242 0.500
Mg 0.758 0.500 0.242
Mg 0.830 0.323 0.830
Mg 0.830 0.830 0.323
Hg 0.000 0.000 0.500
Hg 0.000 0.500 0.000
Hg 0.500 0.000 0.000

ΔE_f   -17 meV/atom
Total magnetization   0.00 μB per formula unit

Record 6
The following is a DFT calculation (PBE-GGA) of a relaxed structure of Sr12MgHg6.

a b c (Å): 9.993 9.993 9.993
angles (deg): 109.47 109.47 109.47
Fractional coordinates of all 19 atoms:
Sr 0.116 0.295 0.821
Sr 0.179 0.474 0.295
Sr 0.179 0.884 0.705
Sr 0.295 0.179 0.474
Sr 0.295 0.821 0.116
Sr 0.474 0.295 0.179
Sr 0.526 0.705 0.821
Sr 0.705 0.179 0.884
Sr 0.705 0.821 0.526
Sr 0.821 0.116 0.295
Sr 0.821 0.526 0.705
Sr 0.884 0.705 0.179
Mg 0.000 0.000 0.000
Hg 0.133 0.500 0.633
Hg 0.367 0.867 0.500
Hg 0.500 0.367 0.867
Hg 0.500 0.633 0.133
Hg 0.633 0.133 0.500
Hg 0.867 0.500 0.367

ΔE_f   -312 meV/atom
Total magnetization   0.02 μB per formula unit